An optimized crystal structure of ErCo3Sn6. Source: Alexandria, functional PBE-GGA.

```
ErCo3Sn6
1.0
4.840 -4.324 0.000
4.840 4.324 0.000
-4.337 0.000 4.936
Er Co Sn
1 3 6
direct
0.000 0.000 0.000
0.120 0.528 0.275
0.294 0.294 0.563
0.528 0.120 0.275
0.332 0.332 0.990
0.409 0.755 0.822
0.448 0.871 0.443
0.755 0.409 0.822
0.871 0.448 0.443
0.944 0.944 0.430
```

Values from the calculation:
symmetry	No. 8
energy of formation	-139	meV/atom


An optimized crystal structure of Dy5Re2O12. Source: Alexandria, functional PBE-GGA.

```
Dy5Re2O12
1.0
6.235 -2.835 0.000
6.235 2.835 0.000
-2.323 0.000 7.194
Dy Re O
5 2 12
direct
0.000 0.000 0.000
0.303 0.303 0.142
0.314 0.314 0.675
0.686 0.686 0.325
0.697 0.697 0.858
0.214 0.786 0.500
0.786 0.214 0.500
0.001 0.001 0.294
0.087 0.582 0.415
0.098 0.594 0.926
0.406 0.902 0.074
0.418 0.913 0.585
0.499 0.499 0.323
0.501 0.501 0.677
0.582 0.087 0.415
0.594 0.098 0.926
0.902 0.406 0.074
0.913 0.418 0.585
0.999 0.999 0.706
```

Values from the calculation:
symmetry	No. 12
total DFT energy (no corrections)	-8.571	eV per atom


An optimized crystal structure of ScCuSn3. Source: Alexandria, functional PBE-GGA.

```
ScCuSn3
1.0
5.503 0.000 0.000
0.000 5.503 0.000
0.000 0.000 5.503
Sc Cu Sn
1 1 3
direct
0.000 0.000 0.000
0.500 0.500 0.500
0.000 0.000 0.500
0.000 0.500 0.000
0.500 0.000 0.000
```

Values from the calculation:
symmetry	No. 221
energy of formation	694	meV/atom
E above lowest polymorph	481.9	meV per atom


An optimized crystal structure of AgBOs3. Source: Alexandria, functional PBE-GGA.

```
AgBOs3
1.0
4.809 0.000 0.000
0.000 4.809 0.000
0.000 0.000 4.809
Ag B Os
1 1 3
direct
0.000 0.000 0.000
0.500 0.500 0.500
0.000 0.000 0.500
0.000 0.500 0.000
0.500 0.000 0.000
```

Values from the calculation:
symmetry	No. 221
energy of formation	3991	meV/atom
E above lowest polymorph	3316.3	meV per atom


An optimized crystal structure of AlCr2Cl. Source: Alexandria, functional PBE-GGA.

```
AlCr2Cl
1.0
0.000 3.253 3.253
3.253 0.000 3.253
3.253 3.253 0.000
Al Cr Cl
1 2 1
direct
0.000 0.000 0.000
0.500 0.500 0.500
0.750 0.750 0.750
0.250 0.250 0.250
```

Values from the calculation:
symmetry	No. 216
E above lowest polymorph	606.0	meV per atom


An optimized crystal structure of Al2Ni3. Source: Alexandria, functional PBE-GGA.

```
Al2Ni3
1.0
1.340 0.774 9.784
-1.340 0.774 9.784
0.000 -1.547 9.784
Al Ni
2 3
direct
0.100 0.100 0.100
0.900 0.900 0.900
0.299 0.299 0.299
0.500 0.500 0.500
0.701 0.701 0.701
```

Values from the calculation:
symmetry	No. 166
energy of formation	-315	meV/atom
E above lowest polymorph	206.8	meV per atom


An optimized crystal structure of Sr3SnPb. Source: Alexandria, functional PBE-GGA.

```
Sr3SnPb
1.0
6.266 0.000 0.000
0.000 6.266 0.000
0.000 0.000 6.266
Sr Sn Pb
3 1 1
direct
0.000 0.000 0.500
0.000 0.500 0.000
0.500 0.000 0.000
0.000 0.000 0.000
0.500 0.500 0.500
```

Values from the calculation:
symmetry	No. 221
energy of formation	-168	meV/atom
E above lowest polymorph	303.9	meV per atom


An optimized crystal structure of MgSc5Sn. Source: Alexandria, functional PBE-GGA.

```
MgSc5Sn
1.0
3.909 -4.245 0.000
3.909 4.245 0.000
-2.903 0.000 10.289
Mg Sc Sn
2 10 2
direct
0.000 0.000 0.000
0.000 0.000 0.500
0.001 0.407 0.840
0.137 0.863 0.750
0.243 0.526 0.470
0.407 0.001 0.340
0.474 0.757 0.030
0.526 0.243 0.970
0.593 0.999 0.660
0.757 0.474 0.530
0.863 0.137 0.250
0.999 0.593 0.160
0.489 0.511 0.750
0.511 0.489 0.250
```

Values from the calculation:
symmetry	No. 15
energy of formation	-65	meV/atom